First-principles (PBE) data for a geometry-optimized Y4GeAs2Se structure, as listed in Alexandria.

Unit cell a=7.157 b=4.112 c=7.168 alpha=90.00 beta=109.24 gamma=90.00
Positions (direct):
1 Y 0.245 0.000 0.241
2 Y 0.248 0.500 0.753
3 Y 0.752 0.500 0.247
4 Y 0.755 0.000 0.759
5 Ge 0.500 0.000 0.000
6 As 0.000 0.000 0.500
7 As 0.000 0.500 0.000
8 Se 0.500 0.500 0.500

Values from the calculation:
- Space group: P2/m
- E_form (uncorrected): -1.4868 eV/atom
- Spin magnetization: 0.00 μB per cell
- Calculated volume: 199.16 Å³ per cell